No. 1
SmHoGa2Ru2, relaxed, DFT GGA-PBE; symmetry = No. 164; energy = -6.119 eV/atom; energy of formation = -45.2 kJ/mol of atoms
1.0
4.340 0.000 0.000
-2.170 3.758 0.000
0.000 0.000 7.401
Ru Ga Sm Ho
2 2 1 1
Direct
0.333 0.667 0.739
0.667 0.333 0.261
0.333 0.667 0.264
0.667 0.333 0.736
0.000 0.000 0.000
0.000 0.000 0.500

No. 2
TbLuPdRu, relaxed, DFT GGA-PBE; symmetry = No. 216; energy = -6.589 eV/atom; energy of formation = -66.0 kJ/mol of atoms
1.0
-2.192 -0.557 4.275
-4.558 -1.608 0.190
-0.931 -4.439 1.680
Pd Lu Tb Ru
1 1 1 1
Direct
0.500 0.500 0.500
0.750 0.750 0.750
0.250 0.250 0.250
0.000 0.000 0.000

No. 3
Ca2NiP3Ir4, relaxed, DFT GGA-PBE; symmetry = No. 115; energy = -6.863 eV/atom; energy of formation = -69.2 kJ/mol of atoms
1.0
-2.207 -2.644 2.203
2.772 0.186 3.001
-4.868 7.426 4.036
Ir P Ca Ni
4 3 2 1
Direct
0.000 0.000 0.000
0.500 0.000 0.630
0.500 0.500 0.000
0.000 0.500 0.370
0.000 0.000 0.500
0.500 0.000 0.863
0.000 0.500 0.137
0.500 0.000 0.258
0.000 0.500 0.742
0.500 0.500 0.500

No. 4
Sm2GaSi3Ni4, relaxed, DFT GGA-PBE; symmetry = No. 115; energy = -5.962 eV/atom; raw formation energy = -775.7 meV/atom
1.0
-1.988 0.180 -3.517
0.976 -3.852 -0.749
-8.049 -2.894 4.401
Sm Ni Si Ga
2 4 3 1
Direct
0.000 0.500 0.752
0.500 0.000 0.248
0.000 0.500 0.366
0.500 0.000 0.634
0.000 0.000 0.000
0.500 0.500 0.000
0.500 0.000 0.876
0.000 0.000 0.500
0.000 0.500 0.124
0.500 0.500 0.500

No. 5
AcLaYTh, relaxed, DFT GGA-PBE; symmetry = No. 99; energy = -5.690 eV/atom; energy of formation = 3.9 kJ/mol of atoms; excess energy over the best structure of this formula in the dataset = 0.0000 eV/atom
1.0
3.702 0.000 0.000
0.000 3.702 0.000
0.000 0.000 10.610
La Ac Y Th
1 1 1 1
Direct
0.500 0.500 0.796
0.000 0.000 0.079
0.500 0.500 0.343
0.000 0.000 0.567

No. 6
Mg2CrIn, relaxed, DFT GGA-PBE; symmetry = No. 99; energy = -3.655 eV/atom; energy of formation = 22.5 kJ/mol of atoms
1.0
-2.939 1.159 0.271
-0.269 -1.350 2.856
3.061 6.926 3.560
In Mg Cr
1 2 1
Direct
0.500 0.500 0.728
0.000 0.000 0.997
0.500 0.500 0.273
0.000 0.000 0.502

No. 7
Tb2Tm3Ag2, relaxed, DFT GGA-PBE; symmetry = No. 139; energy = -4.232 eV/atom; energy of formation = -17.2 kJ/mol of atoms; excess energy over the best structure of this formula in the dataset = 0.0000 eV/atom
1.0
3.535 0.000 0.469
0.030 3.559 -0.224
-0.179 -0.846 14.902
Tm Tb Ag
3 2 2
Direct
0.000 0.000 0.000
0.123 0.878 0.754
0.877 0.122 0.246
0.708 0.292 0.584
0.292 0.708 0.416
0.562 0.439 0.877
0.438 0.561 0.123

No. 8
YCuSe2, relaxed, DFT GGA-PBE; symmetry = No. 166; energy = -5.455 eV/atom; raw formation energy = -1072.7 meV/atom
1.0
6.563 -0.001 -0.001
5.304 3.865 -0.001
5.304 1.727 3.457
Se Cu Y
2 1 1
Direct
0.493 0.493 0.493
0.007 0.007 0.007
0.750 0.750 0.750
0.250 0.250 0.250

No. 9
CdSnGeCl6, relaxed, DFT GGA-PBE; symmetry = No. 102; energy = -3.215 eV/atom; raw formation energy = -924.9 meV/atom
1.0
6.467 0.000 0.000
0.000 6.467 0.000
0.000 0.000 12.309
Sn Cl Ge Cd
2 12 2 2
Direct
0.500 0.500 0.167
0.000 0.000 0.667
0.793 0.207 0.841
0.314 0.314 0.666
0.707 0.707 0.341
0.686 0.686 0.666
0.293 0.293 0.341
0.186 0.814 0.166
0.814 0.186 0.166
0.703 0.703 0.991
0.297 0.297 0.991
0.797 0.203 0.491
0.203 0.797 0.491
0.207 0.793 0.841
0.000 0.000 0.001
0.500 0.500 0.501
0.500 0.500 0.835
0.000 0.000 0.335

No. 10
TlTe3Au, relaxed, DFT GGA-PBE; symmetry = No. 221; energy = -2.817 eV/atom; excess energy over the best structure of this formula in the dataset = 0.2424 eV/atom; raw formation energy = 197.0 meV/atom
1.0
5.534 0.000 0.000
0.000 5.534 0.000
0.000 0.000 5.534
Tl Au Te
1 1 3
Direct
0.500 0.500 0.500
0.000 0.000 0.000
0.500 0.000 0.000
0.000 0.500 0.000
0.000 0.000 0.500

No. 11
MoRhI2, relaxed, DFT GGA-PBE; symmetry = No. 225; energy = -4.437 eV/atom; excess energy over the best structure of this formula in the dataset = 0.0614 eV/atom; raw formation energy = 884.1 meV/atom
1.0
0.000 3.421 3.421
3.421 0.000 3.421
3.421 3.421 0.000
Rh I Mo
1 2 1
Direct
0.500 0.500 0.500
0.750 0.750 0.750
0.250 0.250 0.250
0.000 0.000 0.000

No. 12
Th3Re7W2, relaxed, DFT GGA-PBE; symmetry = No. 166; energy = -11.235 eV/atom; energy of formation = 3.9 kJ/mol of atoms
1.0
5.244 0.000 1.641
2.365 4.681 1.641
-0.087 -0.054 9.477
Re Th W
7 3 2
Direct
0.586 0.078 0.751
0.922 0.414 0.249
0.414 0.922 0.249
0.078 0.586 0.751
0.414 0.414 0.249
0.586 0.586 0.751
0.500 0.500 0.500
0.144 0.144 0.567
0.856 0.856 0.433
0.000 0.000 0.000
0.336 0.336 0.992
0.664 0.664 0.008

No. 13
MnCd2Pd2, relaxed, DFT GGA-PBE; symmetry = No. 127; energy = -4.298 eV/atom; energy of formation = -2.0 kJ/mol of atoms; excess energy over the best structure of this formula in the dataset = 0.1333 eV/atom
1.0
-7.065 2.503 2.110
-3.237 -4.590 -5.393
-0.191 -2.252 2.032
Pd Cd Mn
4 4 2
Direct
0.667 0.833 0.500
0.167 0.667 0.500
0.333 0.167 0.500
0.833 0.333 0.500
0.132 0.368 0.000
0.868 0.632 0.000
0.632 0.132 0.000
0.368 0.868 0.000
0.000 0.000 0.000
0.500 0.500 0.000

No. 14
MgSiRu2, relaxed, DFT GGA-PBE; symmetry = No. 71; energy = -6.596 eV/atom; raw formation energy = -203.6 meV/atom
1.0
4.991 0.003 0.001
1.907 4.612 -0.001
-2.811 -3.261 2.525
Ru Si Mg
2 1 1
Direct
0.531 0.531 0.000
0.969 0.969 0.000
0.750 0.250 0.500
0.250 0.750 0.500

No. 15
KFe3Si, relaxed, DFT GGA-PBE; symmetry = No. 221; energy = -3.897 eV/atom; excess energy over the best structure of this formula in the dataset = 1.6274 eV/atom; raw formation energy = 2484.5 meV/atom
1.0
4.454 0.000 0.000
0.000 4.454 0.000
0.000 0.000 4.454
K Si Fe
1 1 3
Direct
0.000 0.000 0.000
0.500 0.500 0.500
0.000 0.500 0.000
0.000 0.000 0.500
0.500 0.000 0.000

No. 16
PmAl2Si, relaxed, DFT GGA-PBE; symmetry = No. 166; energy = -4.635 eV/atom; excess energy over the best structure of this formula in the dataset = 0.1174 eV/atom; raw formation energy = -220.3 meV/atom
1.0
-1.096 3.723 -1.929
-0.736 0.093 -4.270
-5.633 0.230 -1.224
Al Pm Si
2 1 1
Direct
0.290 0.290 0.130
0.710 0.710 0.870
0.500 0.500 0.500
0.000 0.000 0.000

No. 17
SmTlPt5, relaxed, DFT GGA-PBE; symmetry = No. 62; energy = -5.856 eV/atom; energy of formation = -51.1 kJ/mol of atoms
1.0
-2.553 -2.695 3.846
-5.462 -3.517 -6.089
7.110 -8.682 -1.364
Pt Sm Tl
20 4 4
Direct
0.750 0.934 0.507
0.504 0.434 0.202
0.504 0.934 0.298
0.004 0.566 0.798
0.750 0.529 0.589
0.496 0.066 0.702
0.250 0.066 0.493
0.250 0.694 0.226
0.750 0.029 0.911
0.996 0.434 0.202
0.750 0.434 0.993
0.250 0.971 0.089
0.750 0.806 0.726
0.250 0.566 0.007
0.750 0.306 0.774
0.496 0.566 0.798
0.004 0.066 0.702
0.250 0.194 0.274
0.250 0.471 0.411
0.996 0.934 0.298
0.750 0.754 0.073
0.750 0.254 0.427
0.250 0.746 0.573
0.250 0.246 0.927
0.750 0.149 0.131
0.250 0.351 0.631
0.750 0.649 0.369
0.250 0.851 0.869

No. 18
Ac3NdTl4Se8, relaxed, DFT GGA-PBE; symmetry = No. 166; energy = -4.822 eV/atom; raw formation energy = -1419.9 meV/atom
1.0
-1.116 -0.634 -8.934
-7.976 -4.622 1.325
1.058 8.095 3.853
Se Ac Tl Nd
8 3 4 1
Direct
0.233 0.715 0.466
0.767 0.285 0.018
0.740 0.719 0.480
0.748 0.715 0.982
0.260 0.281 0.520
0.767 0.285 0.534
0.233 0.715 0.982
0.252 0.285 0.018
0.500 0.500 0.500
0.500 0.500 0.000
0.000 0.500 0.500
0.000 0.000 0.000
0.000 0.000 0.500
0.500 0.000 0.000
0.500 0.000 0.500
0.000 0.500 0.000

No. 19
Pu2HfCd, relaxed, DFT GGA-PBE; symmetry = No. 123; energy = -9.744 eV/atom; energy of formation = 13.4 kJ/mol of atoms; excess energy over the best structure of this formula in the dataset = 0.0624 eV/atom
1.0
-4.781 -0.303 -1.260
1.123 -1.724 -3.846
-0.203 -3.997 1.733
Cd Hf Pu
1 1 2
Direct
0.500 0.500 0.500
0.500 0.000 0.000
0.000 0.500 0.000
0.000 0.000 0.500

No. 20
Ac2CeAs, relaxed, DFT GGA-PBE; symmetry = No. 166; energy = -4.944 eV/atom; energy of formation = -23.5 kJ/mol of atoms
1.0
-2.472 -1.449 2.908
-2.042 -3.483 -0.606
7.109 -7.463 5.189
Ac As Ce
2 1 1
Direct
0.891 0.891 0.328
0.109 0.109 0.672
0.500 0.500 0.500
0.000 0.000 0.000